(1)
{"formula": "PmZnBi", "functional": "GGA-PBE", "state": "relaxed", "cell": [[-2.151, 2.151, 4.575], [2.151, -2.151, 4.575], [2.151, 2.151, -4.575]], "species": ["Pm", "Zn", "Bi"], "frac_coords": [[0.000, 0.000, 0.000], [0.669, 0.669, 0.000], [0.349, 0.349, 0.000]], "n_ef_per_ev_fu": 1.5, "e_tot_ev_per_atom": -3.608, "formation_energy_ev_per_atom": -0.306, "total_magnetization_mub_per_cell": 0.00, "vol_a3_per_cell": 84.6}

---

(2)
{"formula": "Nd2Si3Rh", "functional": "GGA-PBE", "state": "relaxed", "cell": [[8.270, 0.000, 0.000], [-4.135, 7.162, 0.000], [0.000, 0.000, 4.187]], "species": ["Nd", "Nd", "Nd", "Nd", "Si", "Si", "Si", "Si", "Si", "Si", "Rh", "Rh"], "frac_coords": [[0.000, 0.000, 0.000], [0.000, 0.500, 0.000], [0.500, 0.000, 0.000], [0.500, 0.500, 0.000], [0.166, 0.333, 0.500], [0.166, 0.834, 0.500], [0.333, 0.166, 0.500], [0.667, 0.834, 0.500], [0.834, 0.166, 0.500], [0.834, 0.667, 0.500], [0.333, 0.667, 0.500], [0.667, 0.333, 0.500]], "n_ef_per_ev_fu": 2.7, "e_form_raw_kj_per_mol_atoms": -87, "e_tot_ev_per_atom": -6.431, "total_magnetization_mub_per_cell": 0.00, "vol_a3_per_cell": 248.0}

---

(3)
{"formula": "Sr2MgHgPb", "functional": "GGA-PBE", "state": "relaxed", "cell": [[6.431, 0.000, 0.000], [0.000, 6.431, 0.000], [0.000, 0.000, 5.721]], "species": ["Sr", "Sr", "Mg", "Hg", "Pb"], "frac_coords": [[0.000, 0.500, 0.000], [0.500, 0.000, 0.000], [0.000, 0.000, 0.500], [0.500, 0.500, 0.500], [0.500, 0.500, 0.000]], "n_ef_per_ev_fu": 3.6, "e_tot_ev_per_atom": -1.688, "formation_energy_ev_per_atom": 0.106, "total_magnetization_mub_per_cell": 0.00, "vol_a3_per_cell": 236.6}

---

(4)
{"formula": "TaTeSe", "functional": "GGA-PBE", "state": "relaxed", "cell": [[6.205, 0.000, 0.000], [0.000, 3.590, 0.000], [-0.292, 0.000, 7.183]], "species": ["Ta", "Ta", "Te", "Te", "Se", "Se"], "frac_coords": [[0.235, 0.250, 0.001], [0.765, 0.750, 0.999], [0.406, 0.750, 0.743], [0.594, 0.250, 0.257], [0.098, 0.750, 0.230], [0.902, 0.250, 0.770]], "n_ef_per_ev_fu": 1.6, "e_form_raw_kj_per_mol_atoms": -54, "e_tot_ev_per_atom": -6.715, "total_magnetization_mub_per_cell": 0.00, "vol_a3_per_cell": 160.0}

---

(5)
{"formula": "Cd2In5Bi5", "functional": "GGA-PBE", "state": "relaxed", "cell": [[5.447, 0.000, 0.000], [2.709, 8.224, 0.000], [2.646, 2.309, 7.933]], "species": ["Cd", "Cd", "In", "In", "In", "In", "In", "Bi", "Bi", "Bi", "Bi", "Bi"], "frac_coords": [[0.192, 0.473, 0.143], [0.808, 0.527, 0.857], [0.314, 0.010, 0.362], [0.425, 0.244, 0.905], [0.500, 0.500, 0.500], [0.575, 0.756, 0.095], [0.686, 0.990, 0.638], [0.000, 0.000, 0.000], [0.040, 0.290, 0.630], [0.249, 0.735, 0.763], [0.751, 0.265, 0.237], [0.960, 0.710, 0.370]], "n_ef_per_ev_fu": 4.8, "e_tot_ev_per_atom": -2.868, "formation_energy_ev_per_atom": 0.042, "total_magnetization_mub_per_cell": 0.00, "vol_a3_per_cell": 355.4}

---

(6)
{"formula": "KRb4Li", "functional": "GGA-PBE", "state": "relaxed", "cell": [[0.000, 6.218, 6.218], [6.218, 0.000, 6.218], [6.218, 6.218, 0.000]], "species": ["K", "Rb", "Rb", "Rb", "Rb", "Li"], "frac_coords": [[0.000, 0.000, 0.000], [0.376, 0.376, 0.376], [0.376, 0.376, 0.873], [0.376, 0.873, 0.376], [0.873, 0.376, 0.376], [0.750, 0.750, 0.750]], "n_ef_per_ev_fu": 4.2, "e_tot_ev_per_atom": -0.955, "formation_energy_ev_per_atom": 0.192, "total_magnetization_mub_per_cell": 0.00, "vol_a3_per_cell": 480.9}